(1)
The following is a GGA+U calculation of an optimized crystal structure of Ti4FeBiPb4O15, from the Alexandria database.

Calculated values
Spin magnetization in μB per cell: 5.018
Density of states at the Fermi level in states/eV/f.u.: 0.0
Uncorrected energy in eV per atom: -7.33
V in Å³ per cell: 351.31
SG: Cmm2 (35)

Cell lengths 13.7995, 13.7995, 4.7796 Å; angles 90.00, 90.00, 157.29 degrees
Sites, in units of the cell vectors:
Ti 0.1016 0.8984 0.0000
Ti 0.3001 0.6999 0.0020
Ti 0.6999 0.3001 0.0020
Ti 0.8984 0.1016 0.0000
Fe 0.5000 0.5000 0.9975
Bi 0.0000 0.0000 0.4037
Pb 0.2005 0.7995 0.4451
Pb 0.4044 0.5956 0.4556
Pb 0.5956 0.4044 0.4556
Pb 0.7995 0.2005 0.4451
O 0.0000 0.5000 0.1204
O 0.0965 0.9035 0.6335
O 0.1011 0.4004 0.1035
O 0.1918 0.2910 0.1290
O 0.2910 0.1918 0.1290
O 0.2975 0.7025 0.6362
O 0.4004 0.1011 0.1035
O 0.5000 0.0000 0.1204
O 0.5000 0.5000 0.6096
O 0.5996 0.8989 0.1035
O 0.7025 0.2975 0.6362
O 0.7090 0.8082 0.1290
O 0.8082 0.7090 0.1290
O 0.8989 0.5996 0.1035
O 0.9035 0.0965 0.6335



(2)
The following is a GGA+U calculation of an optimized crystal structure of MnNbCrO6, from the Alexandria database.

Calculated values
Spin magnetization in μB per cell: 11.994
Uncorrected energy in eV per atom: -8.05
V in Å³ per cell: 195.80
SG: P4_2nm (102)

Cell lengths 4.6512, 4.6512, 9.0508 Å; angles 90.00, 90.00, 90.00 degrees
Sites, in units of the cell vectors:
Mn 0.0000 0.0000 0.0000
Mn 0.5000 0.5000 0.5000
Nb 0.0000 0.0000 0.3369
Nb 0.5000 0.5000 0.8369
Cr 0.0000 0.0000 0.6675
Cr 0.5000 0.5000 0.1675
O 0.1905 0.1905 0.8381
O 0.1923 0.1923 0.1638
O 0.2041 0.2041 0.4974
O 0.2959 0.7041 0.9974
O 0.3077 0.6923 0.6638
O 0.3095 0.6905 0.3381
O 0.6905 0.3095 0.3381
O 0.6923 0.3077 0.6638
O 0.7041 0.2959 0.9974
O 0.7959 0.7959 0.4974
O 0.8077 0.8077 0.1638
O 0.8095 0.8095 0.8381



- What is the uncorrected energy in the first record?
  -7.33 eV per atom



- Which of these has the highest uncorrected energy?
  Ti4FeBiPb4O15



- Look up the spin magnetization of the second one.
  11.994 μB per cell



- The highest V belongs to which entry?
  Ti4FeBiPb4O15